DFT (PBE) results for an optimized crystal structure of K2Cd2S3O12.

Computed properties:
* energy: -5.550 eV per atom
* relative energy among the computed polymorphs: 0.0 meV per atom
* SG: P2_12_12_1 (19)

```
K2Cd2S3O12
1.0
10.113 0.000 0.000
0.000 10.118 0.000
0.000 0.000 10.206
K Cd S O
8 8 12 48
Direct
0.063 0.041 0.052
0.195 0.333 0.687
0.305 0.667 0.187
0.437 0.959 0.552
0.563 0.459 0.948
0.695 0.167 0.313
0.805 0.833 0.813
0.937 0.541 0.448
0.071 0.902 0.413
0.172 0.701 0.840
0.328 0.299 0.340
0.429 0.098 0.913
0.571 0.598 0.587
0.672 0.799 0.160
0.828 0.201 0.660
0.929 0.402 0.087
0.024 0.215 0.369
0.129 0.003 0.718
0.248 0.614 0.503
0.252 0.386 0.003
0.371 0.997 0.218
0.476 0.785 0.869
0.524 0.285 0.631
0.629 0.497 0.282
0.748 0.886 0.497
0.752 0.114 0.997
0.871 0.503 0.782
0.976 0.715 0.131
0.017 0.582 0.183
0.029 0.101 0.678
0.044 0.309 0.259
0.067 0.902 0.805
0.082 0.767 0.045
0.118 0.327 0.984
0.152 0.201 0.440
0.152 0.693 0.424
0.185 0.934 0.601
0.206 0.608 0.642
0.237 0.072 0.788
0.242 0.477 0.451
0.258 0.523 0.951
0.263 0.928 0.288
0.294 0.392 0.142
0.315 0.066 0.101
0.348 0.307 0.924
0.348 0.799 0.940
0.382 0.673 0.484
0.418 0.233 0.545
0.433 0.098 0.305
0.456 0.691 0.759
0.471 0.899 0.178
0.483 0.418 0.683
0.517 0.918 0.817
0.529 0.399 0.322
0.544 0.191 0.741
0.567 0.598 0.195
0.582 0.733 0.955
0.618 0.173 0.016
0.652 0.299 0.560
0.652 0.807 0.576
0.685 0.566 0.399
0.706 0.892 0.358
0.737 0.428 0.212
0.742 0.023 0.549
0.758 0.977 0.049
0.763 0.572 0.712
0.794 0.108 0.858
0.815 0.434 0.899
0.848 0.193 0.076
0.848 0.701 0.060
0.882 0.827 0.516
0.918 0.267 0.455
0.933 0.402 0.695
0.956 0.809 0.241
0.971 0.601 0.822
0.983 0.082 0.317
```


DFT (PBE) results for an optimized crystal structure of Nd4B2O5.

Computed properties:
* energy: -7.428 eV per atom
* size of the total moment: 0.0 μB/f.u.
* SG: C2/m (12)

```
Nd4B2O5
1.0
6.039 -1.825 0.000
6.039 1.825 0.000
-5.661 0.000 6.769
Nd B O
4 2 5
Direct
0.060 0.060 0.344
0.320 0.320 0.883
0.680 0.680 0.117
0.940 0.940 0.656
0.413 0.413 0.395
0.587 0.587 0.605
0.000 0.000 0.000
0.288 0.288 0.391
0.364 0.364 0.192
0.636 0.636 0.808
0.712 0.712 0.609
```


DFT (PBE) results for an optimized crystal structure of SrAsOsO.

Computed properties:
* energy: -6.654 eV per atom
* relative energy among the computed polymorphs: 0.8 meV per atom
* size of the total moment: 0.0 μB/f.u.
* SG: P4/nmm (129)

```
SrAsOsO
1.0
4.074 0.000 0.000
0.000 4.074 0.000
0.000 0.000 9.468
Sr As Os O
2 2 2 2
Direct
0.250 0.250 0.128
0.750 0.750 0.872
0.250 0.250 0.651
0.750 0.750 0.349
0.250 0.750 0.500
0.750 0.250 0.500
0.250 0.750 0.000
0.750 0.250 0.000
```


DFT (PBE) results for an optimized crystal structure of Al2IrOs.

Computed properties:
* energy: -6.953 eV per atom
* relative energy among the computed polymorphs: 649.0 meV per atom
* size of the total moment: 0.0 μB/f.u.
* SG: F-43m (216)

```
Al2IrOs
1.0
0.000 3.082 3.082
3.082 0.000 3.082
3.082 3.082 0.000
Al Ir Os
2 1 1
Direct
0.000 0.000 0.000
0.250 0.250 0.250
0.750 0.750 0.750
0.500 0.500 0.500
```


DFT (PBE) results for an optimized crystal structure of TaReB4.

Computed properties:
* energy: -8.697 eV per atom
* relative energy among the computed polymorphs: 0.0 meV per atom
* size of the total moment: 0.0 μB/f.u.
* SG: Immm (71)

```
TaReB4
1.0
-1.516 2.620 3.398
1.516 -2.620 3.398
1.516 2.620 -3.398
Ta Re B
1 1 4
Direct
0.000 0.000 0.000
0.500 0.500 0.000
0.079 0.748 0.331
0.417 0.748 0.669
0.583 0.252 0.331
0.921 0.252 0.669
```


DFT (PBE) results for an optimized crystal structure of CsAgTeMoS2.

Computed properties:
* energy: -4.705 eV per atom
* size of the total moment: 2.1 μB/f.u.
* SG: Cmcm (63)

```
CsAgTeMoS2
1.0
1.912 -8.505 0.000
1.912 8.505 0.000
0.000 0.000 10.439
Cs Ag Te Mo S
2 2 2 2 4
Direct
0.220 0.780 0.750
0.780 0.220 0.250
0.465 0.535 0.250
0.535 0.465 0.750
0.083 0.917 0.250
0.917 0.083 0.750
0.000 0.000 0.000
0.000 0.000 0.500
0.405 0.595 0.037
0.405 0.595 0.463
0.595 0.405 0.537
0.595 0.405 0.963
```